No. 1
This record from Alexandria describes a relaxed structure of BeCd3Au6. The functional is PBE.

Structure (extended XYZ):
```
20
Lattice="9.149 0.000 0.000 0.000 10.425 0.000 0.000 0.000 3.894" Properties=species:S:1:pos:R:3 pbc="T T T"
Be 0.000 0.000 0.000
Be 4.574 5.213 1.947
Cd 0.000 5.213 0.000
Cd 1.417 3.219 1.947
Cd 3.158 8.431 0.000
Cd 4.574 0.000 1.947
Cd 5.991 1.994 0.000
Cd 7.732 7.207 1.947
Au 0.396 8.040 0.000
Au 1.387 9.928 1.947
Au 2.024 6.403 1.947
Au 2.550 1.191 0.000
Au 3.187 4.715 0.000
Au 4.178 2.827 1.947
Au 4.971 7.599 1.947
Au 5.961 5.711 0.000
Au 6.598 9.235 0.000
Au 7.124 4.022 1.947
Au 7.762 0.498 1.947
Au 8.752 2.386 0.000
```

Its formation energy from the elements is -0.11 eV/atom.


No. 2
This record from Alexandria describes a relaxed structure of Th2Ga4IrRh3. The functional is PBE.

Structure (extended XYZ):
```
10
Lattice="4.298 0.000 0.000 0.000 4.298 0.000 0.000 0.000 10.143" Properties=species:S:1:pos:R:3 pbc="T T T"
Th 0.000 2.149 2.444
Th 2.149 0.000 7.698
Ga 0.000 0.000 5.071
Ga 0.000 2.149 8.845
Ga 2.149 0.000 1.298
Ga 2.149 2.149 5.071
Ir 2.149 2.149 0.000
Rh 0.000 0.000 0.000
Rh 0.000 2.149 6.398
Rh 2.149 0.000 3.745
```

Its formation energy from the elements is -0.80 eV/atom.


No. 3
This record from Alexandria describes a relaxed structure of NdSmU2P4. The functional is PBE.

Structure (extended XYZ):
```
8
Lattice="6.934 0.000 0.000 0.000 4.005 0.000 -2.315 0.000 6.688" Properties=species:S:1:pos:R:3 pbc="T T T"
Nd 0.000 0.000 0.000
Sm 3.467 2.003 0.000
U -1.157 2.003 3.344
U 2.310 0.000 3.344
P 0.009 0.000 4.920
P 1.167 2.003 1.778
P 3.453 2.003 4.911
P 4.610 0.000 1.768
```

Its formation energy from the elements is -1.26 eV/atom.


No. 4
This record from Alexandria describes a relaxed structure of CsGa4Au8. The functional is PBE.

Structure (extended XYZ):
```
13
Lattice="6.641 -2.332 0.000 6.641 2.332 0.000 -5.279 0.000 9.508" Properties=species:S:1:pos:R:3 pbc="T T T"
Cs 0.000 0.000 0.000
Ga -0.710 0.000 5.561
Ga 3.597 0.000 2.071
Ga 4.407 0.000 7.437
Ga 8.714 0.000 3.948
Au -3.229 0.000 6.196
Au -1.930 0.000 8.740
Au 1.190 0.000 3.269
Au 1.872 0.000 6.356
Au 6.132 0.000 3.152
Au 6.814 0.000 6.240
Au 9.934 0.000 0.768
Au 11.233 0.000 3.312
```

Its formation energy from the elements is -0.20 eV/atom.


No. 5
This record from Alexandria describes a relaxed structure of Cr2AsP2. The functional is PBE.

Structure (extended XYZ):
```
10
Lattice="6.830 0.000 0.000 0.000 6.830 0.000 0.000 0.000 2.874" Properties=species:S:1:pos:R:3 pbc="T T T"
Cr 1.004 2.411 0.000
Cr 2.411 5.825 0.000
Cr 4.419 1.004 0.000
Cr 5.825 4.419 0.000
As 0.000 0.000 0.000
As 3.415 3.415 0.000
P 0.939 4.354 1.437
P 2.475 0.939 1.437
P 4.354 5.890 1.437
P 5.890 2.475 1.437
```

Its formation energy from the elements is -0.10 eV/atom.


No. 6
This record from Alexandria describes a relaxed structure of CsMgSeO4. The functional is PBE.

Structure (extended XYZ):
```
7
Lattice="0.000 4.304 4.304 4.304 0.000 4.304 4.304 4.304 0.000" Properties=species:S:1:pos:R:3 pbc="T T T"
Cs 0.000 0.000 0.000
Mg 6.456 6.456 6.456
Se 4.304 4.304 4.304
O 5.331 3.276 3.276
O 3.276 5.331 3.276
O 3.276 3.276 5.331
O 5.331 5.331 5.331
```

For the uncorrected formation energy, the calculation gives -1.37 eV/atom.


No. 7
This record from Alexandria describes a relaxed structure of KMg2Ga2Sn2. The functional is PBE.

Structure (extended XYZ):
```
7
Lattice="2.464 1.422 9.267 -2.464 1.422 9.267 0.000 -2.845 9.267" Properties=species:S:1:pos:R:3 pbc="T T T"
K 0.000 0.000 0.000
Mg 0.000 0.000 3.857
Mg 0.000 0.000 23.945
Ga 0.000 0.000 12.524
Ga 0.000 0.000 15.279
Sn 0.000 0.000 6.837
Sn 0.000 0.000 20.966
```

Its formation energy from the elements is -0.14 eV/atom.


No. 8
This record from Alexandria describes a relaxed structure of GaAg2C. The functional is PBE.

Structure (extended XYZ):
```
4
Lattice="0.000 3.117 3.117 3.117 0.000 3.117 3.117 3.117 0.000" Properties=species:S:1:pos:R:3 pbc="T T T"
Ga 0.000 0.000 0.000
Ag 1.558 1.558 1.558
Ag 4.675 4.675 4.675
C 3.117 3.117 3.117
```

Its formation energy from the elements is 1.26 eV/atom.


No. 9
This record from Alexandria describes a relaxed structure of LiTbY2S4. The functional is PBE.

Structure (extended XYZ):
```
8
Lattice="6.742 0.000 0.000 0.000 3.891 0.000 -2.239 0.000 6.362" Properties=species:S:1:pos:R:3 pbc="T T T"
Li 0.000 0.000 0.000
Tb 3.371 1.946 0.000
Y -1.120 1.946 3.181
Y 2.252 0.000 3.181
S -0.036 0.000 4.795
S 1.101 1.946 1.561
S 4.540 0.000 1.566
S 3.402 1.946 4.801
```

For the uncorrected formation energy, the calculation gives -1.94 eV/atom.


No. 10
This record from Alexandria describes a relaxed structure of CuIrS2. The functional is PBE.

Structure (extended XYZ):
```
32
Lattice="4.927 -4.831 0.000 4.927 4.831 0.000 -0.045 0.000 11.651" Properties=species:S:1:pos:R:3 pbc="T T T"
Cu 1.316 0.967 4.467
Cu 3.234 1.089 10.018
Cu 1.294 -0.967 10.293
Cu 3.256 -1.089 4.192
Cu 6.554 1.089 7.459
Cu 8.516 0.967 1.358
Cu 6.576 -1.089 1.633
Cu 8.494 -0.967 7.184
Ir 4.063 3.608 4.561
Ir 5.770 3.608 1.265
Ir 3.911 1.641 1.591
Ir 5.921 1.641 4.235
Ir 3.889 -1.641 7.416
Ir 5.899 -1.641 10.060
Ir 4.040 -3.608 10.387
Ir 5.747 -3.608 7.090
S 2.571 2.469 3.249
S 4.894 4.731 8.738
S 2.572 0.144 0.346
S 4.618 1.930 6.114
S 2.549 -0.144 6.172
S 5.169 1.930 11.363
S 7.262 2.469 2.577
S 4.916 0.132 2.913
S 4.894 -0.132 8.738
S 2.548 -2.469 9.074
S 4.641 -1.930 0.288
S 7.261 0.144 5.480
S 5.192 -1.930 5.537
S 7.238 -0.144 11.305
S 4.916 -4.731 2.913
S 7.239 -2.469 8.402
```

For the uncorrected formation energy, the calculation gives -0.04 eV/atom.


No. 11
This record from Alexandria describes a relaxed structure of AlTc2F. The functional is PBE.

Structure (extended XYZ):
```
4
Lattice="0.000 3.006 3.006 3.006 0.000 3.006 3.006 3.006 0.000" Properties=species:S:1:pos:R:3 pbc="T T T"
Al 0.000 0.000 0.000
Tc 1.503 1.503 1.503
Tc 4.510 4.510 4.510
F 3.006 3.006 3.006
```

For the uncorrected formation energy, the calculation gives 0.27 eV/atom.


No. 12
This record from Alexandria describes a relaxed structure of CsBiPt. The functional is PBE.

Structure (extended XYZ):
```
6
Lattice="7.147 0.000 0.000 0.000 4.575 0.000 -2.424 0.000 7.822" Properties=species:S:1:pos:R:3 pbc="T T T"
Cs 0.868 1.144 1.890
Cs 3.855 3.431 5.932
Bi 0.334 1.144 5.957
Bi 4.389 3.431 1.865
Pt 0.415 3.431 7.375
Pt 4.308 1.144 0.447
```

Its formation energy from the elements is -0.30 eV/atom.


What did we get for magnetization? Answer: 0.00, 0.00, 4.50, 0.00, 2.42, 0.00, 0.00, 0.00, 0.00, 0.00, 0.00, 0.00 μB/f.u., in the order shown.